#1
VASP calculation (SCAN) on a crystal of LiTcP relaxed with PBEsol.

abc: 3.0552 3.0552 7.7169
angles: 90.00 90.00 90.00
Last column: nearest neighbours and their distance in Å.
Fractional coordinates of all 6 atoms:
Li (0.0000, 0.0000, 0.0000)  5 Tc 2.46-2.57, 5 P 2.52-2.54
Li (0.5000, 0.5000, 0.5000)  5 Tc 2.46-2.57, 5 P 2.52-2.54
Tc (0.0000, 0.0000, 0.6811)  4 P 2.43, 5 Li 2.46-2.57
Tc (0.5000, 0.5000, 0.1811)  4 P 2.43, 5 Li 2.46-2.57
P (0.0000, 0.0000, 0.3266)  4 Tc 2.43, 5 Li 2.52-2.54
P (0.5000, 0.5000, 0.8266)  4 Tc 2.43, 5 Li 2.52-2.54

***

#2
VASP calculation (SCAN) on a crystal of LiTcP relaxed with PBEsol.

abc: 3.1244 4.6219 12.0636
angles: 90.00 90.00 90.00
Last column: nearest neighbours and their distance in Å.
Fractional coordinates of all 12 atoms:
Li (0.0000, 0.0000, 0.0000)  2 P 2.62, 2 Tc 2.78, 4 Li 2.79
Li (0.0000, 0.5000, 0.5000)  2 P 2.62, 2 Tc 2.78, 4 Li 2.79
Li (0.5000, 0.0000, 0.5000)  2 P 2.62, 2 Tc 2.78, 4 Li 2.79
Li (0.5000, 0.5000, 0.0000)  2 P 2.62, 2 Tc 2.78, 4 Li 2.79
Tc (0.0000, 0.0000, 0.6907)  2 P 2.26
Tc (0.0000, 0.5000, 0.1907)  2 P 2.26
Tc (0.5000, 0.0000, 0.1907)  2 P 2.26
Tc (0.5000, 0.5000, 0.6907)  2 P 2.26
P (0.0000, 0.0000, 0.3258)  2 Tc 2.26
P (0.0000, 0.5000, 0.8258)  2 Tc 2.26
P (0.5000, 0.0000, 0.8258)  2 Tc 2.26
P (0.5000, 0.5000, 0.3258)  2 Tc 2.26

***

Quick look at relative energies in kJ/mol of atoms: #1 0.0; #2 33.0.

***

#1
VASP calculation (SCAN) on a crystal of LiCu2Pt relaxed with PBEsol.

abc: 5.8555 5.8555 5.8555
angles: 90.00 90.00 90.00
Last column: nearest neighbours and their distance in Å.
Fractional coordinates of all 16 atoms:
Li (0.0000, 0.0000, 0.0000)  8 Cu 2.54
Li (0.0000, 0.5000, 0.5000)  8 Cu 2.54
Li (0.5000, 0.0000, 0.5000)  8 Cu 2.54
Li (0.5000, 0.5000, 0.0000)  8 Cu 2.54
Cu (0.2500, 0.2500, 0.2500)  4 Pt 2.54, 4 Li 2.54
Cu (0.2500, 0.2500, 0.7500)  4 Li 2.54, 4 Pt 2.54
Cu (0.2500, 0.7500, 0.2500)  4 Li 2.54, 4 Pt 2.54
Cu (0.2500, 0.7500, 0.7500)  4 Li 2.54, 4 Pt 2.54
Cu (0.7500, 0.2500, 0.2500)  4 Li 2.54, 4 Pt 2.54
Cu (0.7500, 0.2500, 0.7500)  4 Li 2.54, 4 Pt 2.54
Cu (0.7500, 0.7500, 0.2500)  4 Li 2.54, 4 Pt 2.54
Cu (0.7500, 0.7500, 0.7500)  4 Li 2.54, 4 Pt 2.54
Pt (0.0000, 0.0000, 0.5000)  8 Cu 2.54
Pt (0.0000, 0.5000, 0.0000)  8 Cu 2.54
Pt (0.5000, 0.0000, 0.0000)  8 Cu 2.54
Pt (0.5000, 0.5000, 0.5000)  8 Cu 2.54

***

#2
VASP calculation (SCAN) on a crystal of LiCu2Pt relaxed with PBEsol.

abc: 4.1947 4.1947 2.8616
angles: 90.00 90.00 90.00
Last column: nearest neighbours and their distance in Å.
Fractional coordinates of all 4 atoms:
Li (0.0000, 0.0000, 0.0000)  8 Cu 2.54
Cu (0.0000, 0.5000, 0.5000)  4 Li 2.54, 4 Pt 2.54
Cu (0.5000, 0.0000, 0.5000)  4 Li 2.54, 4 Pt 2.54
Pt (0.5000, 0.5000, 0.0000)  8 Cu 2.54

***

Quick look at relative energies in kJ/mol of atoms: #1 2.3; #2 0.0.